CaHg2Te | Alexandria | GGA-PBE | optimized geometry; E = -2.0171 eV/atom; formation energy from raw total energies = -0.580 eV/atom; space-group type = I-4m2 (119)
1.0
-2.620 2.620 4.252
2.620 -2.620 4.252
2.620 2.620 -4.252
Ca Hg Te
1 2 1
Cartesian
0.000 0.000 0.000
2.620 0.000 2.126
0.000 0.000 4.252
0.000 2.620 2.126